Here is an optimized crystal structure of CdHg2Se from Alexandria via LeMat-Bulk. Energies are from PBEsol.

Cell lengths 4.054, 4.054, 5.859 Å; angles 90.00, 90.00, 90.00 degrees
Positions (direct):
Cd1 0.000 0.000 0.000
Hg1 0.000 0.000 0.500
Hg2 0.500 0.500 0.500
Se1 0.500 0.500 0.000

- spin magnetization (Bohr magnetons per cell) = 0.0
- ΔE_f (raw) (eV/atom) = -0.08